Computed, not measured: crystalline AgSbH at its relaxed geometry at the PBE-GGA level of DFT.

The space group is I4mm (No. 107) and the conventional cell measures 4.014, 4.014 and 8.100 Å, with angles of 90.00, 90.00 and 90.00 degrees. The inequivalent atoms are Ag at (0.000, 0.000, 0.000), Sb at (0.000, 0.000, 0.467) and H at (0.000, 0.000, 0.247).

The energy above the most stable polymorph in this dataset is 48 meV per atom.